No. 1
A geometry-optimized Ba2CdNi structure, computed with PBE.

Cell: 4.734 4.785 6.803 Å, 69.48 90.00 90.00°
Atoms (fractional coordinates):
Ba: 0.000 0.983 0.909
Ba: 0.500 0.260 0.355
Ni: 0.500 0.578 0.719
Cd: 0.000 0.679 0.517

N(E_F)	3.3	states/eV/f.u.
raw total energy	-2.701	eV per atom
formation enthalpy at 0 K	-0.0650	eV per atom

***

No. 2
A geometry-optimized BaCdNiP structure, computed with PBE.

Cell: 4.057 4.057 12.167 Å, 90.00 90.00 90.00°
Atoms (fractional coordinates):
Ba: 0.250 0.250 0.780
Ni: 0.250 0.750 0.000
Ni: 0.750 0.250 0.000
P: 0.250 0.250 0.087
P: 0.750 0.750 0.913
Cd: 0.250 0.750 0.500
Cd: 0.750 0.250 0.500
Ba: 0.750 0.750 0.220

N(E_F)	2.5	states/eV/f.u.
raw total energy	-4.090	eV per atom
formation enthalpy at 0 K	-0.5830	eV per atom

***

No. 3
A geometry-optimized BaCd2NiPb structure, computed with PBE.

Cell: 5.175 5.175 5.146 Å, 90.00 90.00 90.00°
Atoms (fractional coordinates):
Ni: 0.000 0.000 0.000
Cd: 0.500 0.000 0.000
Cd: 0.000 0.500 0.000
Ba: 0.500 0.500 0.500
Pb: 0.000 0.000 0.500

N(E_F)	3.7	states/eV/f.u.
raw total energy	-2.841	eV per atom
formation enthalpy at 0 K	-0.1923	eV per atom

***

No. 4
A geometry-optimized Ba2CdNiPb structure, computed with PBE.

Cell: 5.910 5.910 5.044 Å, 90.00 90.00 90.00°
Atoms (fractional coordinates):
Pb: 0.500 0.500 0.500
Ni: 0.000 0.000 0.000
Cd: 0.000 0.000 0.500
Ba: 0.500 0.000 0.000
Ba: 0.000 0.500 0.000

N(E_F)	3.8	states/eV/f.u.
raw total energy	-3.009	eV per atom
energy relative to the lowest polymorph listed for this composition	50	meV per atom
formation enthalpy at 0 K	-0.1588	eV per atom

***

No. 5
A geometry-optimized Ba2CdNiPb structure, computed with PBE.

Cell: 6.086 6.086 4.956 Å, 90.00 90.00 90.00°
Atoms (fractional coordinates):
Pb: 0.000 0.000 0.500
Ba: 0.500 0.000 0.000
Ba: 0.000 0.500 0.000
Cd: 0.500 0.500 0.500
Ni: 0.000 0.000 0.000

N(E_F)	2.7	states/eV/f.u.
raw total energy	-3.059	eV per atom
energy relative to the lowest polymorph listed for this composition	0	meV per atom
formation enthalpy at 0 K	-0.2089	eV per atom

***

No. 6
A geometry-optimized BaCdNiPb2 structure, computed with PBE.

Cell: 5.272 5.272 5.196 Å, 90.00 90.00 90.00°
Atoms (fractional coordinates):
Ni: 0.000 0.000 0.000
Ba: 0.500 0.500 0.500
Pb: 0.000 0.500 0.000
Cd: 0.000 0.000 0.500
Pb: 0.500 0.000 0.000

N(E_F)	3.3	states/eV/f.u.
raw total energy	-3.371	eV per atom
formation enthalpy at 0 K	-0.1636	eV per atom

***

No. 7
A geometry-optimized RbBa2CdNi structure, computed with PBE.

Cell: 6.134 6.134 5.411 Å, 90.00 90.00 90.00°
Atoms (fractional coordinates):
Rb: 0.500 0.500 0.500
Cd: 0.000 0.000 0.500
Ba: 0.000 0.500 0.000
Ni: 0.000 0.000 0.000
Ba: 0.500 0.000 0.000

N(E_F)	4.3	states/eV/f.u.
raw total energy	-2.252	eV per atom
formation enthalpy at 0 K	0.0502	eV per atom

***

No. 8
A geometry-optimized RbBaCd2Ni structure, computed with PBE.

Cell: 5.381 5.381 5.596 Å, 90.00 90.00 90.00°
Atoms (fractional coordinates):
Cd: 0.500 0.000 0.000
Cd: 0.000 0.500 0.000
Ba: 0.000 0.000 0.500
Ni: 0.000 0.000 0.000
Rb: 0.500 0.500 0.500

N(E_F)	2.8	states/eV/f.u.
raw total energy	-2.098	eV per atom
formation enthalpy at 0 K	0.0020	eV per atom

***

No. 9
A geometry-optimized BaCdNiS2 structure, computed with PBE.

Cell: 5.184 4.785 5.184 Å, 90.00 90.00 90.00°
Last column: magnetic moment on the atom in μB.
Atoms (fractional coordinates):
S: 0.500 0.000 0.000  0.02
Ni: 0.000 0.500 0.000  0.49
Ba: 0.500 0.500 0.500  -0.01
Cd: 0.000 0.000 0.000  -0.01
S: 0.000 0.000 0.500  0.03

E_form (uncorrected)	-230	meV/atom
N(E_F)	5.7	states/eV/f.u.
raw total energy	-3.605	eV per atom

***

No. 10
A geometry-optimized Ba2CdNiSb structure, computed with PBE.

Cell: 6.101 6.101 4.790 Å, 90.00 90.00 90.00°
Atoms (fractional coordinates):
Ba: 0.500 0.000 0.000
Cd: 0.500 0.500 0.500
Ni: 0.000 0.000 0.000
Sb: 0.000 0.000 0.500
Ba: 0.000 0.500 0.000

E_form (uncorrected)	-387	meV/atom
N(E_F)	3.8	states/eV/f.u.
raw total energy	-3.320	eV per atom

***

No. 11
A geometry-optimized Ba2CdSiNi structure, computed with PBE.

Cell: 6.076 6.076 4.405 Å, 90.00 90.00 90.00°
Atoms (fractional coordinates):
Si: 0.000 0.000 0.500
Cd: 0.500 0.500 0.500
Ni: 0.000 0.000 0.000
Ba: 0.500 0.000 0.000
Ba: 0.000 0.500 0.000

E_form (uncorrected)	-237	meV/atom
N(E_F)	3.0	states/eV/f.u.
raw total energy	-3.430	eV per atom
energy relative to the lowest polymorph listed for this composition	0	meV per atom

***

No. 12
A geometry-optimized Ba2CdSiNi structure, computed with PBE.

Cell: 6.369 4.698 6.369 Å, 90.00 90.00 90.00°
Atoms (fractional coordinates):
Ba: 0.000 0.000 0.500
Si: 0.500 0.500 0.500
Cd: 0.000 0.000 0.000
Ni: 0.000 0.500 0.000
Ba: 0.500 0.000 0.000

E_form (uncorrected)	490	meV/atom
N(E_F)	5.3	states/eV/f.u.
raw total energy	-2.703	eV per atom
energy relative to the lowest polymorph listed for this composition	727	meV per atom